1.
{"formula": "Be2CuRe", "functional": "PBE", "state": "optimized geometry", "cell": [[3.757, 0.000, 0.000], [0.000, 2.601, 0.003], [0.000, 1.287, 4.456]], "species": ["Re", "Be", "Be", "Cu"], "frac_coords": [[0.500, 0.788, 0.796], [0.000, 0.194, 0.986], [0.500, 0.054, 0.271], [0.000, 0.464, 0.447]], "n_ef_per_ev_fu": 1.79, "relative_energy_ev_per_fu": 0.32}

2.
{"formula": "BeCu2Re", "functional": "PBE", "state": "optimized geometry", "cell": [[3.757, 0.000, 0.000], [0.000, 2.583, 0.003], [0.000, 1.290, 4.927]], "species": ["Cu", "Cu", "Re", "Be"], "frac_coords": [[0.000, 0.811, 0.002], [0.500, 0.194, 0.236], [0.000, 0.547, 0.531], [0.500, 0.947, 0.732]], "dft_energy_ev_per_atom": -5.92, "n_ef_per_ev_fu": 2.17}

3.
{"formula": "BeCuRe2", "functional": "PBE", "state": "optimized geometry", "cell": [[-4.053, 7.494, -0.960], [-6.160, 5.955, -0.304], [-4.628, 7.031, 1.627]], "species": ["Cu", "Be", "Re", "Re"], "frac_coords": [[0.750, 0.750, 0.750], [0.250, 0.250, 0.250], [0.996, 0.996, 0.996], [0.504, 0.504, 0.504]], "dft_energy_ev_per_atom": -7.88, "n_ef_per_ev_fu": 5.32}

4.
{"formula": "BeCuRe2", "functional": "PBE", "state": "optimized geometry", "cell": [[-2.375, 1.009, 0.838], [-1.774, -3.108, -1.287], [0.655, -2.277, 4.598]], "species": ["Re", "Re", "Cu", "Be"], "frac_coords": [[0.000, 0.000, 0.017], [0.500, 0.500, 0.242], [0.500, 0.500, 0.726], [0.000, 0.000, 0.514]], "dft_energy_ev_per_atom": -7.94, "n_ef_per_ev_fu": 2.43}

5.
{"formula": "BeCuRe2", "functional": "PBE", "state": "optimized geometry", "cell": [[4.858, -0.001, 0.006], [2.113, 4.375, -0.006], [-3.070, -2.849, 2.462]], "species": ["Re", "Re", "Cu", "Be"], "frac_coords": [[0.512, 0.512, 0.000], [0.988, 0.988, 0.000], [0.250, 0.750, 0.500], [0.750, 0.250, 0.500]], "dft_energy_ev_per_atom": -7.91, "n_ef_per_ev_fu": 2.86}

6.
{"formula": "BeCu2Re", "functional": "PBE", "state": "optimized geometry", "cell": [[4.325, 0.000, 0.000], [0.000, 4.325, 0.000], [0.000, 0.000, 2.655]], "species": ["Cu", "Cu", "Re", "Be"], "frac_coords": [[0.500, 0.500, 0.000], [0.000, 0.000, 0.000], [0.500, 0.000, 0.500], [0.000, 0.500, 0.500]], "dft_energy_ev_per_atom": -5.69, "n_ef_per_ev_fu": 2.99}

7.
{"formula": "BeCu2Rh", "functional": "PBE", "state": "optimized geometry", "cell": [[7.993, -0.004, -0.002], [7.555, 2.610, -0.002], [7.555, 1.266, 2.282]], "species": ["Be", "Cu", "Cu", "Rh"], "frac_coords": [[0.750, 0.750, 0.750], [0.006, 0.006, 0.006], [0.252, 0.252, 0.252], [0.491, 0.491, 0.491]], "dft_energy_ev_per_atom": -4.87, "n_ef_per_ev_fu": 2.90}

8.
{"formula": "BeCuRh3", "functional": "PBE", "state": "optimized geometry", "cell": [[-0.900, -3.955, -1.842], [3.367, 0.566, -2.861], [2.774, -1.971, 2.875]], "species": ["Cu", "Rh", "Rh", "Rh", "Be"], "frac_coords": [[0.000, 0.000, 0.000], [0.500, 0.000, 0.000], [0.000, 0.500, 0.000], [0.000, 0.000, 0.500], [0.500, 0.500, 0.500]], "n_ef_per_ev_fu": 7.30, "relative_energy_ev_per_fu": 5.40}

9.
{"formula": "Be4CuRh5", "functional": "PBE", "state": "optimized geometry", "cell": [[2.791, 0.000, 0.000], [0.000, 2.791, 0.000], [0.000, 0.000, 14.541]], "species": ["Rh", "Rh", "Rh", "Rh", "Rh", "Be", "Be", "Be", "Be", "Cu"], "frac_coords": [[0.500, 0.500, 0.881], [0.500, 0.500, 0.500], [0.500, 0.500, 0.309], [0.500, 0.500, 0.691], [0.500, 0.500, 0.119], [0.000, 0.000, 0.214], [0.000, 0.000, 0.404], [0.000, 0.000, 0.786], [0.000, 0.000, 0.596], [0.000, 0.000, 0.000]], "dft_energy_ev_per_atom": -6.04, "n_ef_per_ev_fu": 10.58}

10.
{"formula": "BeCuRh", "functional": "PBE", "state": "optimized geometry", "cell": [[3.728, 0.000, 0.000], [1.864, 3.229, 0.000], [1.864, 1.076, 3.044]], "species": ["Rh", "Cu", "Be"], "frac_coords": [[0.500, 0.500, 0.500], [0.000, 0.000, 0.000], [0.750, 0.750, 0.750]], "n_ef_per_ev_fu": 0.84, "relative_energy_ev_per_fu": 0.34}

11.
{"formula": "BeCu2Rh", "functional": "PBE", "state": "optimized geometry", "cell": [[2.629, 0.000, 0.000], [0.000, 3.608, 0.000], [0.000, 0.000, 4.994]], "species": ["Be", "Cu", "Cu", "Rh"], "frac_coords": [[0.500, 0.500, 0.750], [0.000, 0.000, 0.986], [0.000, 0.000, 0.514], [0.500, 0.500, 0.250]], "dft_energy_ev_per_atom": -4.82, "n_ef_per_ev_fu": 2.49}

12.
{"formula": "BeCu2Rh", "functional": "PBE", "state": "optimized geometry", "cell": [[3.932, 0.000, 0.000], [0.000, 2.678, 0.072], [0.000, 1.017, 4.492]], "species": ["Cu", "Cu", "Rh", "Be"], "frac_coords": [[0.000, 0.910, 0.981], [0.000, 0.590, 0.519], [0.500, 0.250, 0.250], [0.500, 0.750, 0.750]], "dft_energy_ev_per_atom": -4.86, "n_ef_per_ev_fu": 2.49}

13.
{"formula": "Be6CuRh5", "functional": "PBE", "state": "optimized geometry", "cell": [[-0.403, 1.970, -3.345], [-3.668, -3.819, -1.807], [-2.348, 4.022, 4.929]], "species": ["Be", "Be", "Be", "Be", "Be", "Be", "Rh", "Rh", "Rh", "Rh", "Rh", "Cu"], "frac_coords": [[0.500, 0.270, 0.000], [0.500, 0.730, 0.000], [0.829, 0.088, 0.658], [0.171, 0.430, 0.342], [0.829, 0.570, 0.658], [0.171, 0.912, 0.342], [0.330, 0.330, 0.659], [0.670, 0.670, 0.341], [0.000, 0.500, 0.000], [0.346, 0.846, 0.692], [0.654, 0.154, 0.308], [0.000, 0.000, 0.000]], "dft_energy_ev_per_atom": -5.87, "n_ef_per_ev_fu": 3.59}

14.
{"formula": "BeCuRh4", "functional": "PBE", "state": "optimized geometry", "cell": [[0.000, 3.568, 3.568], [3.568, 0.000, 3.568], [3.568, 3.568, 0.000]], "species": ["Cu", "Rh", "Rh", "Rh", "Rh", "Be"], "frac_coords": [[0.000, 0.000, 0.000], [0.375, 0.375, 0.875], [0.375, 0.375, 0.375], [0.875, 0.375, 0.375], [0.375, 0.875, 0.375], [0.750, 0.750, 0.750]], "dft_energy_ev_per_atom": -5.70, "n_ef_per_ev_fu": 11.06}

15.
{"formula": "BeCu4Rh", "functional": "PBE", "state": "optimized geometry", "cell": [[0.455, -2.968, 3.636], [-3.080, -3.526, 0.565], [1.353, -4.455, -0.748]], "species": ["Cu", "Cu", "Cu", "Cu", "Rh", "Be"], "frac_coords": [[0.625, 0.124, 0.625], [0.625, 0.625, 0.124], [0.625, 0.625, 0.625], [0.124, 0.625, 0.625], [0.250, 0.250, 0.250], [0.000, 0.000, 0.000]], "dft_energy_ev_per_atom": -4.41, "n_ef_per_ev_fu": 1.93}

16.
{"formula": "BeCu2Rh", "functional": "PBE", "state": "optimized geometry", "cell": [[3.044, 0.000, 0.000], [0.000, 3.724, 0.000], [0.000, 0.000, 4.092]], "species": ["Be", "Cu", "Cu", "Rh"], "frac_coords": [[0.000, 0.500, 0.500], [0.500, 0.500, 0.000], [0.000, 0.000, 0.000], [0.500, 0.000, 0.500]], "dft_energy_ev_per_atom": -5.01, "n_ef_per_ev_fu": 1.23}

17.
{"formula": "BeCu2Rh", "functional": "PBE", "state": "optimized geometry", "cell": [[4.374, -0.004, 0.000], [-1.667, 4.044, 0.000], [0.000, 0.000, 2.712]], "species": ["Be", "Cu", "Cu", "Rh"], "frac_coords": [[0.000, 0.500, 0.500], [0.500, 0.500, 0.000], [0.000, 0.000, 0.000], [0.500, 0.000, 0.500]], "dft_energy_ev_per_atom": -4.82, "n_ef_per_ev_fu": 2.23}

18.
{"formula": "BeCu2Rh", "functional": "PBE", "state": "optimized geometry", "cell": [[-3.770, -2.876, 0.768], [0.528, -4.761, -0.357], [1.457, 4.018, 2.194]], "species": ["Rh", "Cu", "Cu", "Be"], "frac_coords": [[0.750, 0.250, 0.500], [0.023, 0.023, 0.000], [0.477, 0.477, 0.000], [0.250, 0.750, 0.500]], "dft_energy_ev_per_atom": -4.99, "n_ef_per_ev_fu": 2.17}

19.
{"formula": "BeCu2Rh", "functional": "PBE", "state": "optimized geometry", "cell": [[3.325, 0.000, 0.000], [0.000, 3.325, 0.000], [1.663, 1.663, 8.973]], "species": ["Cu", "Cu", "Cu", "Cu", "Be", "Be", "Rh", "Rh"], "frac_coords": [[0.875, 0.868, 0.750], [0.618, 0.125, 0.250], [0.132, 0.625, 0.250], [0.375, 0.382, 0.750], [0.250, 0.750, 0.500], [0.500, 0.500, 0.000], [0.750, 0.250, 0.500], [0.000, 0.000, 0.000]], "dft_energy_ev_per_atom": -4.71, "n_ef_per_ev_fu": 2.48}

20.
{"formula": "BeCu2Rh", "functional": "PBE", "state": "optimized geometry", "cell": [[2.585, 0.000, 0.000], [-1.015, 2.378, 0.000], [0.000, 0.000, 7.787]], "species": ["Rh", "Be", "Cu", "Cu"], "frac_coords": [[0.000, 0.000, 0.528], [0.500, 0.500, 0.750], [0.500, 0.500, 0.243], [0.000, 0.000, 0.979]], "dft_energy_ev_per_atom": -4.84, "n_ef_per_ev_fu": 2.51}